Ti3AlTc PBE relaxed; space-group type = Pm-3m (221)
1.0
4.684 0.000 0.000
0.000 4.684 0.000
0.000 0.000 4.684
Ti Al Tc
3 1 1
Direct
0.000 0.000 0.500 Ti
0.000 0.500 0.000 Ti
0.500 0.000 0.000 Ti
0.500 0.500 0.500 Al
0.000 0.000 0.000 Tc

---

TiAlTc2 PBE relaxed; space-group type = I-42d (122)
1.0
-1.904 1.904 9.157
1.904 -1.904 9.157
1.904 1.904 -9.157
Ti Al Tc
2 2 4
Direct
0.000 0.000 0.000 Ti
0.750 0.250 0.500 Ti
0.250 0.750 0.500 Al
0.500 0.500 0.000 Al
0.084 0.625 0.959 Tc
0.375 0.334 0.459 Tc
0.666 0.125 0.041 Tc
0.875 0.916 0.541 Tc

---

TiAl4Tc PBE relaxed; space-group type = P2/c (13)
1.0
7.616 0.000 0.000
0.000 4.351 0.000
-0.039 0.000 5.525
Ti Al Tc
2 8 2
Direct
0.000 0.001 0.250 Ti
0.000 0.999 0.750 Ti
0.172 0.497 0.977 Al
0.172 0.503 0.477 Al
0.340 0.004 0.560 Al
0.340 0.996 0.060 Al
0.660 0.004 0.940 Al
0.660 0.996 0.440 Al
0.828 0.497 0.523 Al
0.828 0.503 0.023 Al
0.500 0.495 0.250 Tc
0.500 0.505 0.750 Tc

---

Ti2Al8Tc PBE relaxed; space-group type = C2/m (12)
1.0
3.155 -6.331 0.000
3.155 6.331 0.000
-2.550 0.000 4.639
Ti Al Tc
2 8 1
Direct
0.191 0.809 0.000 Ti
0.809 0.191 0.000 Ti
0.059 0.059 0.263 Al
0.175 0.405 0.757 Al
0.288 0.712 0.500 Al
0.405 0.175 0.757 Al
0.595 0.825 0.243 Al
0.712 0.288 0.500 Al
0.825 0.595 0.243 Al
0.941 0.941 0.737 Al
0.500 0.500 0.500 Tc

---

Ti3AlTc4 PBE relaxed; space-group type = Pmmm (47)
1.0
3.141 0.000 0.000
0.000 4.325 0.000
0.000 0.000 8.710
Ti Al Tc
3 1 4
Direct
0.000 0.000 0.000 Ti
0.000 0.500 0.256 Ti
0.000 0.500 0.744 Ti
0.000 0.000 0.500 Al
0.500 0.000 0.252 Tc
0.500 0.000 0.748 Tc
0.500 0.500 0.000 Tc
0.500 0.500 0.500 Tc

---

TmTiAlTc PBE relaxed; space-group type = F-43m (216)
1.0
0.000 3.305 3.305
3.305 0.000 3.305
3.305 3.305 0.000
Tm Ti Al Tc
1 1 1 1
Direct
0.000 0.000 0.000 Tm
0.500 0.500 0.500 Ti
0.750 0.750 0.750 Al
0.250 0.250 0.250 Tc

---

TiAlVTc PBE relaxed; space-group type = F-43m (216)
1.0
0.000 3.084 3.084
3.084 0.000 3.084
3.084 3.084 0.000
Ti Al V Tc
1 1 1 1
Direct
0.000 0.000 0.000 Ti
0.750 0.750 0.750 Al
0.250 0.250 0.250 V
0.500 0.500 0.500 Tc

---

Ti5Al2VTc2 PBE relaxed; space-group type = P4/mbm (127)
1.0
9.018 0.000 0.000
0.000 9.018 0.000
0.000 0.000 4.031
Ti Al V Tc
10 4 2 4
Direct
0.000 0.500 0.000 Ti
0.085 0.196 0.000 Ti
0.196 0.915 0.000 Ti
0.304 0.415 0.000 Ti
0.415 0.696 0.000 Ti
0.500 0.000 0.000 Ti
0.585 0.304 0.000 Ti
0.696 0.585 0.000 Ti
0.804 0.085 0.000 Ti
0.915 0.804 0.000 Ti
0.171 0.671 0.500 Al
0.329 0.171 0.500 Al
0.671 0.829 0.500 Al
0.829 0.329 0.500 Al
0.000 0.000 0.500 V
0.500 0.500 0.500 V
0.124 0.376 0.500 Tc
0.376 0.876 0.500 Tc
0.624 0.124 0.500 Tc
0.876 0.624 0.500 Tc

---

The following formation enthalpy at 0 K values (in eV/atom) correspond, in order, to the records above: 0.49 0.34 -0.24 -0.05 -0.45 -0.24 -0.31 -0.09.
The following final energy values (in eV/f.u.) correspond, in order, to the records above: -35.3 -31.0 -34.7 -56.6 -72.5 -27.4 -32.4 -77.7.